The following is a DFT calculation (PBE with a Hubbard U) of CuNiB2F after structural relaxation.

Values from the calculation:
Crystal system: tetragonal
DFT total energy: -3.5058 eV/atom
Space-group type: P4/mmm
Calculated volume: 66 Å³ per cell

a = 3.6807 Å, b = 4.8460 Å, c = 3.6807 Å
α = 90.00°, β = 90.00°, γ = 90.00°
With the nearest neighbours (Å) after each atom.
Sites, in units of the cell vectors:
1 Ni 0.5000 0.5000 0.5000  4 F 2.60
2 B 0.0000 0.0000 0.5000  2 Cu 1.84
3 B 0.5000 0.0000 0.0000  2 Cu 1.84
4 Cu 0.0000 0.0000 0.0000  4 B 1.84
5 F 0.0000 0.5000 0.0000  2 Cu 2.42, 4 Ni 2.60